# 1
Computed, not measured: an optimized crystal structure of Ba4As2Se at the PBE level of DFT.

As for the crystal system: tetragonal. The value obtained for the total energy is -118.2 eV per cell. For the uncorrected formation energy, the calculation gives -9.08 eV/f.u. Its polymorph energy (0 for the lowest one) is 0.00 eV per formula unit.

The space group is I4_1/amd (No. 141, origin choice 2) and the conventional cell measures 9.737, 9.737 and 13.749 Å, with angles of 90.00, 90.00 and 90.00 degrees. Symmetry generates all atoms from Ba at (0.000, 0.023, 0.262), As at (0.000, 0.000, 0.500) and Se at (0.000, 0.250, 0.875).



# 2
Computed, not measured: an optimized crystal structure of Tl3Zn2 at the PBE level of DFT.

As for the crystal system: orthorhombic. The value obtained for the total energy is -72.5 eV per cell. Its energy of formation is 0.117 eV per atom. Its polymorph energy (0 for the lowest one) is 0.00 eV per formula unit.

The space group is Fdd2 (No. 43) and the conventional cell measures 13.036, 23.354 and 3.324 Å, with angles of 90.00, 90.00 and 90.00 degrees. Symmetry generates all atoms from Tl at (0.000, 0.000, 0.000), Tl at (0.089, 0.140, 0.708) and Zn at (0.058, 0.280, 0.717).



# 3
Computed, not measured: an optimized crystal structure of RbSiAg2 at the PBE level of DFT.

As for the crystal system: trigonal. The value obtained for the total energy is -35.2 eV per cell. For the uncorrected formation energy, the calculation gives 0.36 eV/f.u. Its polymorph energy (0 for the lowest one) is 0.00 eV per formula unit.

The space group is R-3m (No. 166, hexagonal axes) and the conventional cell measures 4.5529, 4.5529 and 18.9497 Å, with angles of 90.00, 90.00 and 120.00 degrees. Symmetry generates all atoms from Rb at (0.0000, 0.0000, 0.0000), Si at (0.0000, 0.0000, 0.5000) and Ag at (0.0000, 0.0000, 0.1871).



# 4
Computed, not measured: an optimized crystal structure of AlNi2B at the PBE level of DFT.

As for the crystal system: cubic. The value obtained for the total energy is -89.6 eV per cell. Its energy of formation is -0.105 eV per atom. Its polymorph energy (0 for the lowest one) is 0.70 eV per formula unit.

The space group is Fm-3m (No. 225) and the conventional cell measures 5.424, 5.424 and 5.424 Å, with angles of 90.00, 90.00 and 90.00 degrees. Symmetry generates all atoms from Al at (0.000, 0.000, 0.000), Ni at (0.250, 0.250, 0.250) and B at (0.000, 0.000, 0.500).



# 5
Computed, not measured: an optimized crystal structure of Ac8AlGe3I4 at the PBE level of DFT.

As for the crystal system: trigonal. The value obtained for the total energy is -213.2 eV per cell. For the uncorrected formation energy, the calculation gives -14.39 eV/f.u.

The space group is R-3m (No. 166, hexagonal axes) and the conventional cell measures 9.3623, 9.3623 and 24.0984 Å, with angles of 90.00, 90.00 and 120.00 degrees. Symmetry generates all atoms from Ac at (0.0000, 0.0000, 0.2340), Ac at (0.0025, 0.5013, 0.7648), Al at (0.0000, 0.0000, 0.5000), Ge at (0.0000, 0.5000, 0.5000), I at (0.0000, 0.0000, 0.0000) and I at (0.0000, 0.5000, 0.0000).



# 6
Computed, not measured: an optimized crystal structure of Ge3HRu at the PBE level of DFT.

As for the crystal system: cubic. The value obtained for the total energy is -23.7 eV per cell. Its polymorph energy (0 for the lowest one) is 0.12 eV per formula unit.

The space group is Pm-3m (No. 221) and the conventional cell measures 4.756, 4.756 and 4.756 Å, with angles of 90.00, 90.00 and 90.00 degrees. Symmetry generates all atoms from Ge at (0.000, 0.000, 0.500), H at (0.500, 0.500, 0.500) and Ru at (0.000, 0.000, 0.000).



| no. | total magnetic moment (μB/cell) |
| --- | --- |
| 1 | 0.00 |
| 2 | 0.00 |
| 3 | 0.00 |
| 4 | 0.00 |
| 5 | 0.00 |
| 6 | 1.00 |